# 1
{
  "formula": "AgAuN2O",
  "functional": "PBE-GGA",
  "state": "optimized geometry",
  "volume_a3_per_fu": 71.3,
  "formation_energy_uncorrected_ev_per_atom": 1.7665,
  "cell": [[-1.661, -1.406, -3.454], [2.981, -2.771, -0.306], [-2.348, -2.775, 2.258]],
  "species": ["N", "N", "Ag", "O", "Au"],
  "fractional_positions": [[0.500, 0.000, 0.000], [0.000, 0.500, 0.000], [0.500, 0.500, 0.500], [0.000, 0.000, 0.500], [0.000, 0.000, 0.000]]
}

# 2
{
  "formula": "HoPuAgRh",
  "functional": "PBE-GGA",
  "state": "optimized geometry",
  "volume_a3_per_fu": 88.0,
  "delta_e_f_mev_per_atom": -319.2,
  "cell": [[-0.523, 1.475, -4.742], [3.759, -0.603, -3.231], [-0.361, -3.394, -3.645]],
  "species": ["Ag", "Pu", "Rh", "Ho"],
  "fractional_positions": [[0.000, 0.000, 0.000], [0.250, 0.250, 0.250], [0.500, 0.500, 0.500], [0.750, 0.750, 0.750]]
}

# 3
{
  "formula": "K14InO",
  "functional": "PBE-GGA",
  "state": "optimized geometry",
  "volume_a3_per_fu": 1060.7,
  "formation_energy_uncorrected_ev_per_atom": -0.1370,
  "cell": [[-3.737, -8.584, -3.190], [4.338, -0.767, 8.856], [-10.230, 2.510, 5.228]],
  "species": ["K", "K", "K", "K", "K", "K", "K", "K", "K", "K", "K", "K", "In", "K", "K", "O"],
  "fractional_positions": [[0.331, 0.669, 0.270], [0.953, 0.047, 0.671], [0.831, 0.609, 0.303], [0.545, 0.455, 0.000], [0.110, 0.890, 0.000], [0.391, 0.169, 0.303], [0.018, 0.389, 0.500], [0.831, 0.609, 0.697], [0.034, 0.370, 0.000], [0.611, 0.982, 0.500], [0.331, 0.669, 0.730], [0.630, 0.966, 0.000], [0.168, 0.832, 0.500], [0.953, 0.047, 0.329], [0.391, 0.169, 0.697], [0.871, 0.129, 0.500]]
}

no.,size of the total moment (μB/atom)
1,0.6053
2,1.4215
3,0.0000